Record 1
Entry from Alexandria via LeMat-Bulk: a crystal of UAsS relaxed with PBEsol (SCAN).

The space group is P4/nmm (No. 129, origin choice 2) and the conventional cell measures 3.7967, 3.7967 and 7.9180 Å, with angles of 90.00, 90.00 and 90.00 degrees. The inequivalent atoms are U at (0.2500, 0.2500, 0.2057), As at (0.2500, 0.7500, 0.5000) and S at (0.2500, 0.2500, 0.8604).

The value obtained for the raw formation energy is -1127 meV/atom.

---

Record 2
Entry from Alexandria via LeMat-Bulk: a crystal of Zn2HgOs relaxed with PBEsol (SCAN).

The space group is R-3m (No. 166, hexagonal axes) and the conventional cell measures 2.8348, 2.8348 and 27.2278 Å, with angles of 90.00, 90.00 and 120.00 degrees. The inequivalent atoms are Zn at (0.0000, 0.0000, 0.2419), Hg at (0.0000, 0.0000, 0.0000) and Os at (0.0000, 0.0000, 0.5000).

The calculation puts the total energy at -3.04531 Ry/atom.

---

Record 3
Entry from Alexandria via LeMat-Bulk: a crystal of AlCdW2 relaxed with PBEsol (SCAN).

The space group is Pm (No. 6) and the conventional cell measures 2.7633, 4.4968 and 5.2647 Å, with angles of 90.00, 97.32 and 90.00 degrees. The inequivalent atoms are Al at (0.0000, 0.0000, 0.0000), Cd at (0.9154, 0.5000, 0.2623), W at (0.3504, 0.5000, 0.7645) and W at (0.5292, 0.0000, 0.5261).

The calculation puts the total energy at -3.24224 Ry/atom.

---

Record 4
Entry from Alexandria via LeMat-Bulk: a crystal of ReOsN2O relaxed with PBEsol (SCAN).

The space group is P4/mmm (No. 123) and the conventional cell measures 3.9110, 3.9110 and 3.7458 Å, with angles of 90.00, 90.00 and 90.00 degrees. The inequivalent atoms are Re at (0.0000, 0.0000, 0.0000), Os at (0.5000, 0.5000, 0.5000), N at (0.0000, 0.5000, 0.0000) and O at (0.0000, 0.0000, 0.5000).

The value obtained for the raw formation energy is 1091 meV/atom.

---

Record 5
Entry from Alexandria via LeMat-Bulk: a crystal of MgZnCo relaxed with PBEsol (SCAN).

The space group is Imma (No. 74) and the conventional cell measures 4.8948, 4.9529 and 6.9480 Å, with angles of 90.00, 90.00 and 90.00 degrees. The inequivalent atoms are Mg at (0.0000, 0.2500, 0.1171), Zn at (0.0000, 0.0000, 0.5000) and Co at (0.2500, 0.2500, 0.7500).

The calculation puts the total energy at -0.88641 Ry/atom.

---

Record 6
Entry from Alexandria via LeMat-Bulk: a crystal of BaLiMg2 relaxed with PBEsol (SCAN).

The space group is R-3m (No. 166, hexagonal axes) and the conventional cell measures 5.0858, 5.0858 and 17.5600 Å, with angles of 90.00, 90.00 and 120.00 degrees. The inequivalent atoms are Ba at (0.0000, 0.0000, 0.0000), Li at (0.0000, 0.0000, 0.5000) and Mg at (0.0000, 0.0000, 0.2005).

The calculation puts the total energy at -0.95160 Ry/atom.

---

Record 7
Entry from Alexandria via LeMat-Bulk: a crystal of CuReNi2 relaxed with PBEsol (SCAN).

The space group is I-4m2 (No. 119) and the conventional cell measures 3.6092, 3.6092 and 7.1204 Å, with angles of 90.00, 90.00 and 90.00 degrees. The inequivalent atoms are Cu at (0.0000, 0.0000, 0.0000), Re at (0.0000, 0.5000, 0.7500), Ni at (0.0000, 0.0000, 0.5000) and Ni at (0.0000, 0.5000, 0.2500).

The calculation puts the total energy at -2.16215 Ry/atom.

---

Record 8
Entry from Alexandria via LeMat-Bulk: a crystal of LaScIr2 relaxed with PBEsol (SCAN).

The space group is Cm (No. 8) and the conventional cell measures 10.4164, 2.9828 and 5.0005 Å, with angles of 90.00, 100.18 and 90.00 degrees. The inequivalent atoms are La at (0.0000, 0.0000, 0.0000), Sc at (0.2011, 0.0000, 0.6225), Ir at (0.2564, 0.5000, 0.1643) and Ir at (0.4462, 0.0000, 0.4844).

The calculation puts the total energy at -3.70975 Ry/atom.

---

Record 9
Entry from Alexandria via LeMat-Bulk: a crystal of Cd3Au relaxed with PBEsol (SCAN).

The space group is Cmmm (No. 65) and the conventional cell measures 5.9696, 5.9985 and 4.2471 Å, with angles of 90.00, 90.00 and 90.00 degrees. The inequivalent atoms are Cd at (0.0000, 0.0000, 0.0000), Cd at (0.2500, 0.2500, 0.5000) and Au at (0.0000, 0.5000, 0.0000).

The calculation puts the total energy at -2.95672 Ry/atom.

---

Record 10
Entry from Alexandria via LeMat-Bulk: a crystal of LaAg2 relaxed with PBEsol (SCAN).

The space group is P6_3/mmc (No. 194) and the conventional cell measures 5.1716, 5.1716 and 6.1300 Å, with angles of 90.00, 90.00 and 120.00 degrees. The inequivalent atoms are La at (0.3333, 0.6667, 0.2500), Ag at (0.0000, 0.0000, 0.0000) and Ag at (0.3333, 0.6667, 0.7500).

The calculation puts the total energy at -2.60803 Ry/atom.

---

Record 11
Entry from Alexandria via LeMat-Bulk: a crystal of KMnN2O relaxed with PBEsol (SCAN).

The space group is P4/mmm (No. 123) and the conventional cell measures 3.6336, 3.6336 and 4.0388 Å, with angles of 90.00, 90.00 and 90.00 degrees. The inequivalent atoms are K at (0.0000, 0.0000, 0.0000), Mn at (0.5000, 0.5000, 0.5000), N at (0.0000, 0.5000, 0.5000) and O at (0.5000, 0.5000, 0.0000).

The value obtained for the raw formation energy is -104 meV/atom.

---

Record 12
Entry from Alexandria via LeMat-Bulk: a crystal of Be2RePb relaxed with PBEsol (SCAN).

The space group is I4/mmm (No. 139) and the conventional cell measures 3.8105, 3.8105 and 7.7393 Å, with angles of 90.00, 90.00 and 90.00 degrees. The inequivalent atoms are Be at (0.0000, 0.5000, 0.2500), Re at (0.0000, 0.0000, 0.0000) and Pb at (0.0000, 0.0000, 0.5000).

The calculation puts the total energy at -2.80750 Ry/atom.

---

Record 13
Entry from Alexandria via LeMat-Bulk: a crystal of Sc5Pb relaxed with PBEsol (SCAN).

The space group is P-62m (No. 189) and the conventional cell measures 5.5998, 5.5998 and 5.0982 Å, with angles of 90.00, 90.00 and 120.00 degrees. The inequivalent atoms are Sc at (0.0000, 0.3222, 0.0000), Sc at (0.3333, 0.6667, 0.5000) and Pb at (0.0000, 0.0000, 0.5000).

The calculation puts the total energy at -1.81607 Ry/atom.

---

Record 14
Entry from Alexandria via LeMat-Bulk: a crystal of ZrTlTc relaxed with PBEsol (SCAN).

The space group is F-43m (No. 216) and the conventional cell measures 6.3977, 6.3977 and 6.3977 Å, with angles of 90.00, 90.00 and 90.00 degrees. The inequivalent atoms are Zr at (0.0000, 0.0000, 0.0000), Tl at (0.0000, 0.0000, 0.5000) and Tc at (0.2500, 0.2500, 0.7500).

The calculation puts the total energy at -3.35676 Ry/atom.

---

Record 15
Entry from Alexandria via LeMat-Bulk: a crystal of ReRh7 relaxed with PBEsol (SCAN).

The space group is Pmmm (No. 47) and the conventional cell measures 2.6756, 3.7922 and 10.7079 Å, with angles of 90.00, 90.00 and 90.00 degrees. The inequivalent atoms are Re at (0.0000, 0.0000, 0.0000), Rh at (0.0000, 0.0000, 0.2501), Rh at (0.0000, 0.0000, 0.5000), Rh at (0.5000, 0.5000, 0.1227) and Rh at (0.5000, 0.5000, 0.3743).

The calculation puts the total energy at -2.82870 Ry/atom.

---

Record 16
Entry from Alexandria via LeMat-Bulk: a crystal of CoMo2As relaxed with PBEsol (SCAN).

The space group is C2/m (No. 12) and the conventional cell measures 5.2662, 7.6695 and 2.8054 Å, with angles of 90.00, 103.24 and 90.00 degrees. The inequivalent atoms are Co at (0.0000, 0.0000, 0.0000), Mo at (0.2500, 0.2500, 0.5000) and As at (0.0000, 0.5000, 0.0000).

The calculation puts the total energy at -1.95203 Ry/atom.

---

Record 17
Entry from Alexandria via LeMat-Bulk: a crystal of RbNa2PbSe relaxed with PBEsol (SCAN).

The space group is P4/mmm (No. 123) and the conventional cell measures 5.5207, 5.5207 and 6.5452 Å, with angles of 90.00, 90.00 and 90.00 degrees. The inequivalent atoms are Rb at (0.0000, 0.0000, 0.0000), Na at (0.0000, 0.5000, 0.5000), Pb at (0.5000, 0.5000, 0.0000) and Se at (0.0000, 0.0000, 0.5000).

The value obtained for the raw formation energy is -468 meV/atom.

---

Record 18
Entry from Alexandria via LeMat-Bulk: a crystal of Y2Cu3 relaxed with PBEsol (SCAN).

The space group is Fdd2 (No. 43) and the conventional cell measures 9.0391, 15.2201 and 5.3041 Å, with angles of 90.00, 90.00 and 90.00 degrees. The inequivalent atoms are Y at (0.0820, 0.2993, 0.0000), Cu at (0.0000, 0.0000, 0.2766) and Cu at (0.0784, 0.3746, 0.4985).

The calculation puts the total energy at -1.50769 Ry/atom.

---

Record 19
Entry from Alexandria via LeMat-Bulk: a crystal of IrRu relaxed with PBEsol (SCAN).

The space group is Pnma (No. 62) and the conventional cell measures 4.6959, 4.2906 and 5.4273 Å, with angles of 90.00, 90.00 and 90.00 degrees. The inequivalent atoms are Ir at (0.0846, 0.2500, 0.1247) and Ru at (0.0823, 0.2500, 0.6252).

The calculation puts the total energy at -3.89780 Ry/atom.

---

Record 20
Entry from Alexandria via LeMat-Bulk: a crystal of Ba2AlAs relaxed with PBEsol (SCAN).

The space group is P4/mmm (No. 123) and the conventional cell measures 5.3033, 5.3033 and 4.4806 Å, with angles of 90.00, 90.00 and 90.00 degrees. The inequivalent atoms are Ba at (0.0000, 0.5000, 0.0000), Al at (0.0000, 0.0000, 0.5000) and As at (0.5000, 0.5000, 0.5000).

The calculation puts the total energy at -2.00365 Ry/atom.

---

Number 1: M_tot 0.797 μB per atom. Number 2: M_tot 0.000 μB per atom. Number 3: M_tot 0.000 μB per atom. Number 4: M_tot 0.576 μB per atom. Number 5: M_tot 0.384 μB per atom. Number 6: M_tot 0.000 μB per atom. Number 7: M_tot 0.000 μB per atom. Number 8: M_tot 0.000 μB per atom. Number 9: M_tot 0.000 μB per atom. Number 10: M_tot 0.000 μB per atom. Number 11: M_tot 0.033 μB per atom. Number 12: M_tot 0.217 μB per atom. Number 13: M_tot 0.416 μB per atom. Number 14: M_tot 0.000 μB per atom. Number 15: M_tot 0.000 μB per atom. Number 16: M_tot 0.265 μB per atom. Number 17: M_tot 0.597 μB per atom. Number 18: M_tot 0.000 μB per atom. Number 19: M_tot 0.000 μB per atom. Number 20: M_tot 0.000 μB per atom.